# 1
Density functional theory data (PBE) for K2InBr3 after structural relaxation.

a b c (Å): 6.674 9.478 8.201
angles (deg): 106.79 114.01 90.00
Fractional coordinates of all 12 atoms:
Br 0.168 0.584 0.336
Br 0.168 0.084 0.336
Br 0.508 0.750 0.000
Br 0.832 0.416 0.664
Br 0.832 0.916 0.664
Br 0.492 0.250 0.000
In 0.998 0.250 0.000
In 0.002 0.750 0.000
K 0.666 0.083 0.331
K 0.665 0.583 0.331
K 0.335 0.417 0.669
K 0.334 0.917 0.669

Results
**Raw total energy**: -3.04 eV per atom
**D(E_F)**: 0.00 states/eV/atom
**Magnetic moment**: 0.0000 μB/atom
**SG**: C2/c, No. 15

# 2
Density functional theory data (PBE) for KInBr2 after structural relaxation.

a b c (Å): 6.788 6.788 4.981
angles (deg): 90.06 90.06 38.06
Fractional coordinates of all 4 atoms:
Br 0.732 0.732 0.626
Br 0.001 0.001 0.123
In 0.502 0.502 0.625
K 0.265 0.265 0.126

Results
**Raw total energy**: -2.98 eV per atom
**D(E_F)**: 0.00 states/eV/atom
**Relative energy among the computed polymorphs**: 24.9 meV per atom
**Magnetic moment**: 0.0000 μB/atom
**SG**: Cm, No. 8

# 3
Density functional theory data (PBE) for KLiIn2Br4 after structural relaxation.

a b c (Å): 9.126 9.126 9.133
angles (deg): 120.05 120.05 89.60
Fractional coordinates of all 16 atoms:
Li 0.000 0.000 0.000
Li 0.500 0.500 0.500
K 0.000 0.500 0.000
K 0.000 0.500 0.500
Br 0.750 0.748 0.982
Br 0.716 0.289 0.503
Br 0.248 0.250 0.482
Br 0.284 0.711 0.497
Br 0.250 0.252 0.018
Br 0.752 0.750 0.518
Br 0.211 0.784 0.997
Br 0.789 0.216 0.003
In 0.500 0.000 0.000
In 0.500 0.000 0.500
In 0.000 0.000 0.500
In 0.500 0.500 0.000

Results
**Raw total energy**: -2.99 eV per atom
**D(E_F)**: 0.00 states/eV/atom
**Magnetic moment**: 0.0000 μB/atom
**SG**: C2/c, No. 15

# 4
Density functional theory data (PBE) for KLi2InBr6 after structural relaxation.

a b c (Å): 7.186 7.183 7.821
angles (deg): 62.63 62.63 59.99
Fractional coordinates of all 10 atoms:
Br 0.262 0.925 0.232
Br 0.343 0.735 0.760
Br 0.926 0.581 0.232
Br 0.735 0.162 0.760
Br 0.162 0.343 0.760
Br 0.581 0.262 0.232
Li 0.007 0.007 0.979
Li 0.516 0.516 0.452
K 0.806 0.806 0.583
In 0.325 0.325 0.025

Results
**Raw total energy**: -3.03 eV per atom
**D(E_F)**: 0.00 states/eV/atom
**Magnetic moment**: 0.0000 μB/atom
**SG**: R3, No. 146

# 5
Density functional theory data (PBE) for KLiIn2Br6 after structural relaxation.

a b c (Å): 8.420 8.050 8.308
angles (deg): 90.38 120.30 124.56
Fractional coordinates of all 10 atoms:
Br 0.521 0.950 0.597
Br 0.089 0.180 0.663
Br 0.493 0.947 0.117
Br 0.137 0.383 0.179
Br 0.763 0.662 0.716
Br 0.751 0.645 0.241
In 0.609 0.307 0.902
In 0.598 0.774 0.383
Li 0.944 0.064 0.881
K 0.060 0.564 0.624

Results
**Raw total energy**: -2.94 eV per atom
**Magnetic moment**: 0.0000 μB/atom
**SG**: P1, No. 1

# 6
Density functional theory data (PBE) for KMg2InBr8 after structural relaxation.

a b c (Å): 6.811 6.464 8.417
angles (deg): 89.94 89.95 88.35
Fractional coordinates of all 12 atoms:
Br 0.835 0.252 0.220
Br 0.366 0.286 0.500
Br 0.634 0.714 0.500
Br 0.165 0.748 0.780
Br 0.836 0.253 0.780
Br 0.345 0.263 0.000
Br 0.164 0.747 0.220
Br 0.655 0.737 0.000
Mg 0.500 0.500 0.249
Mg 0.500 0.500 0.751
In 0.000 0.000 0.000
K 0.000 0.000 0.500

Results
**Raw total energy**: -2.89 eV per atom
**D(E_F)**: 0.00 states/eV/atom
**Magnetic moment**: 0.0000 μB/atom
**SG**: P-1, No. 2

# 7
Density functional theory data (PBE) for KMgIn2Br5 after structural relaxation.

a b c (Å): 4.386 10.630 14.401
angles (deg): 90.00 90.00 101.91
Fractional coordinates of all 18 atoms:
Br 0.979 0.958 0.510
Br 0.531 0.062 0.271
Br 0.469 0.938 0.771
Br 0.653 0.305 0.875
Br 0.348 0.697 0.014
Br 0.347 0.695 0.375
Br 0.652 0.303 0.514
Br 0.021 0.042 0.010
Br 0.280 0.561 0.697
Br 0.720 0.439 0.197
Mg 0.465 0.930 0.414
Mg 0.535 0.070 0.914
K 0.808 0.615 0.535
K 0.192 0.385 0.035
In 0.145 0.290 0.336
In 0.855 0.710 0.836
In 0.867 0.734 0.171
In 0.133 0.266 0.671

Results
**Raw total energy**: -2.98 eV per atom
**D(E_F)**: 0.00 states/eV/atom
**Magnetic moment**: 0.0000 μB/atom
**SG**: Cmc2_1, No. 36

# 8
Density functional theory data (PBE) for K2MgInBr after structural relaxation.

a b c (Å): 7.048 5.268 7.048
angles (deg): 90.00 90.00 90.00
Fractional coordinates of all 5 atoms:
K 0.000 0.000 0.500
K 0.500 0.000 0.000
Mg 0.000 0.000 0.000
In 0.500 0.500 0.500
Br 0.000 0.500 0.000

Results
**Raw total energy**: -1.63 eV per atom
**D(E_F)**: 1.06 states/eV/atom
**Magnetic moment**: 0.0201 μB/atom
**SG**: P4/mmm, No. 123

# 9
Density functional theory data (PBE) for K3Mn2InBr9 after structural relaxation.

a b c (Å): 7.698 7.698 9.594
angles (deg): 90.00 90.00 120.00
Site moments in Bohr magnetons follow the coordinates.
Fractional coordinates of all 15 atoms:
Br 0.656 0.828 0.319  0.00
Br 0.828 0.656 0.681  0.00
Br 0.172 0.828 0.319  0.00
Br 0.172 0.344 0.319  0.00
Br 0.000 0.500 0.000  0.05
Br 0.344 0.172 0.681  0.00
Br 0.500 0.000 0.000  0.05
Br 0.828 0.172 0.681  0.00
Br 0.500 0.500 0.000  0.05
K 0.667 0.333 0.299  0.00
K 0.000 0.000 0.000  0.00
K 0.333 0.667 0.701  0.00
In 0.000 0.000 0.500  -0.14
Mn 0.667 0.333 0.837  4.29
Mn 0.333 0.667 0.163  4.29

Results
**Raw total energy**: -3.74 eV per atom
**D(E_F)**: 0.23 states/eV/atom
**Magnetic moment**: 0.6165 μB/atom
**SG**: P-3m1, No. 164

# 10
Density functional theory data (PBE) for K4Mn3InBr12 after structural relaxation.

a b c (Å): 9.433 9.433 9.433
angles (deg): 109.47 109.47 109.47
Site moments in Bohr magnetons follow the coordinates.
Fractional coordinates of all 20 atoms:
In 0.000 0.000 0.000  -0.16
K 0.000 0.000 0.500  0.00
K 0.500 0.500 0.500  0.00
K 0.000 0.500 0.000  0.00
K 0.500 0.000 0.000  0.00
Mn 0.000 0.500 0.500  4.33
Mn 0.500 0.000 0.500  4.33
Mn 0.500 0.500 0.000  4.33
Br 0.250 0.500 0.750  0.05
Br 0.738 0.738 0.000  0.00
Br 0.250 0.750 0.500  0.05
Br 0.000 0.262 0.262  0.00
Br 0.500 0.250 0.750  0.05
Br 0.738 0.000 0.738  0.00
Br 0.262 0.262 0.000  0.00
Br 0.500 0.750 0.250  0.05
Br 0.000 0.738 0.738  0.00
Br 0.750 0.500 0.250  0.05
Br 0.262 0.000 0.262  0.00
Br 0.750 0.250 0.500  0.05

Results
**Raw total energy**: -3.85 eV per atom
**D(E_F)**: 0.13 states/eV/atom
**Magnetic moment**: 0.7089 μB/atom
**SG**: Im-3m, No. 229

# 11
Density functional theory data (PBE) for KMnInBr6 after structural relaxation.

a b c (Å): 6.959 6.959 14.378
angles (deg): 90.00 90.00 120.00
Site moments in Bohr magnetons follow the coordinates.
Fractional coordinates of all 18 atoms:
Br 0.964 0.350 0.649  -0.03
Br 0.386 0.036 0.649  -0.03
Br 0.650 0.036 0.851  -0.03
Br 0.650 0.614 0.649  -0.03
Br 0.386 0.350 0.851  -0.03
Br 0.036 0.650 0.351  -0.03
Br 0.964 0.614 0.851  -0.03
Br 0.350 0.964 0.149  -0.03
Br 0.036 0.386 0.149  -0.03
Br 0.614 0.964 0.351  -0.03
Br 0.350 0.386 0.351  -0.03
Br 0.614 0.650 0.149  -0.03
Mn 0.333 0.667 0.250  1.23
Mn 0.667 0.333 0.750  1.23
In 0.333 0.667 0.750  -0.12
In 0.667 0.333 0.250  -0.12
K 0.000 0.000 0.000  0.00
K 0.000 0.000 0.500  0.00

Results
**Raw total energy**: -3.37 eV per atom
**D(E_F)**: 0.73 states/eV/atom
**Magnetic moment**: 0.0993 μB/atom
**SG**: P-31c, No. 163

# 12
Density functional theory data (PBE) for KMnInBr4 after structural relaxation.

a b c (Å): 7.611 7.632 9.098
angles (deg): 90.00 108.10 90.00
Site moments in Bohr magnetons follow the coordinates.
Fractional coordinates of all 14 atoms:
Br 0.009 0.499 0.240  0.05
Br 0.991 0.501 0.760  0.05
Br 0.428 0.750 0.125  0.05
Br 0.585 0.250 0.422  0.05
Br 0.415 0.750 0.578  0.05
Br 0.572 0.250 0.875  0.05
Br 0.991 0.999 0.760  0.05
Br 0.009 0.001 0.240  0.05
K 0.219 0.250 0.555  0.00
K 0.781 0.750 0.445  0.00
In 0.258 0.250 0.067  0.01
In 0.742 0.750 0.933  0.01
Mn 0.767 0.250 0.701  4.30
Mn 0.233 0.750 0.299  4.30

Results
**Raw total energy**: -3.84 eV per atom
**D(E_F)**: 0.00 states/eV/atom
**Magnetic moment**: 0.7143 μB/atom
**SG**: P2_1/m, No. 11

# 13
Density functional theory data (PBE) for KMnIn2Br6 after structural relaxation.

a b c (Å): 7.268 8.321 10.987
angles (deg): 90.00 87.75 90.00
Site moments in Bohr magnetons follow the coordinates.
Fractional coordinates of all 20 atoms:
Br 0.192 0.160 0.467  0.01
Br 0.150 0.392 0.784  -0.02
Br 0.351 0.743 0.389  -0.01
Br 0.851 0.757 0.889  -0.01
Br 0.649 0.257 0.611  -0.01
Br 0.308 0.660 0.033  0.01
Br 0.850 0.608 0.216  -0.02
Br 0.149 0.243 0.111  -0.01
Br 0.808 0.840 0.533  0.01
Br 0.350 0.892 0.716  -0.02
Br 0.650 0.108 0.284  -0.02
Br 0.692 0.340 0.967  0.01
In 0.484 0.439 0.216  -0.08
In 0.516 0.561 0.784  -0.08
In 0.016 0.939 0.284  -0.08
In 0.984 0.061 0.716  -0.08
K 0.000 0.500 0.500  0.00
K 0.500 0.000 0.000  0.00
Mn 0.500 0.000 0.500  4.30
Mn 0.000 0.500 0.000  4.30

Results
**Raw total energy**: -3.45 eV per atom
**D(E_F)**: 0.43 states/eV/atom
**Magnetic moment**: 0.4341 μB/atom
**SG**: P2_1/c, No. 14

# 14
Density functional theory data (PBE) for KNaInBr3 after structural relaxation.

a b c (Å): 4.553 9.765 10.632
angles (deg): 94.34 90.00 90.00
Fractional coordinates of all 12 atoms:
Br 0.750 0.881 0.141
Br 0.750 0.387 0.118
Br 0.250 0.613 0.882
Br 0.250 0.828 0.558
Br 0.250 0.119 0.859
Br 0.750 0.172 0.442
In 0.250 0.630 0.161
In 0.750 0.370 0.839
Na 0.750 0.873 0.407
Na 0.250 0.127 0.593
K 0.250 0.148 0.180
K 0.750 0.852 0.820

Results
**Raw total energy**: -2.97 eV per atom
**D(E_F)**: 0.00 states/eV/atom
**Magnetic moment**: 0.0000 μB/atom
**SG**: P2_1/m, No. 11

# 15
Density functional theory data (PBE) for KNaIn2Br6 after structural relaxation.

a b c (Å): 7.879 7.874 8.074
angles (deg): 89.97 119.23 120.04
Fractional coordinates of all 10 atoms:
Br 0.526 0.918 0.663
Br 0.070 0.152 0.663
Br 0.167 0.447 0.181
Br 0.760 0.607 0.663
Br 0.476 0.028 0.181
Br 0.747 0.718 0.181
In 0.598 0.298 0.882
In 0.610 0.804 0.400
K 0.003 0.501 0.490
Na 0.009 0.004 0.998

Results
**Raw total energy**: -2.90 eV per atom
**Magnetic moment**: 0.0000 μB/atom
**SG**: P1, No. 1

# 16
Density functional theory data (PBE) for KNa2In3Br6 after structural relaxation.

a b c (Å): 4.549 9.279 10.294
angles (deg): 103.91 102.76 90.00
Fractional coordinates of all 12 atoms:
K 0.500 0.000 0.000
Br 0.017 0.258 0.033
Br 0.983 0.742 0.967
Br 0.674 0.569 0.349
Br 0.672 0.108 0.345
Br 0.326 0.431 0.651
Br 0.328 0.892 0.655
Na 0.829 0.663 0.658
Na 0.171 0.337 0.342
In 0.500 0.500 0.000
In 0.167 0.824 0.335
In 0.833 0.176 0.665

Results
**Raw total energy**: -2.95 eV per atom
**D(E_F)**: 0.00 states/eV/atom
**Magnetic moment**: 0.0000 μB/atom
**SG**: C2/m, No. 12

# 17
Density functional theory data (PBE) for K2NaInBr6 after structural relaxation.

a b c (Å): 7.894 7.894 7.894
angles (deg): 60.00 60.00 60.00
Fractional coordinates of all 10 atoms:
Br 0.258 0.742 0.258
Br 0.742 0.258 0.258
Br 0.742 0.742 0.258
Br 0.258 0.742 0.742
Br 0.258 0.258 0.742
Br 0.742 0.258 0.742
K 0.250 0.250 0.250
K 0.750 0.750 0.750
In 0.500 0.500 0.500
Na 0.000 0.000 0.000

Results
**Raw total energy**: -2.93 eV per atom
**D(E_F)**: 0.00 states/eV/atom
**Magnetic moment**: 0.0000 μB/atom
**SG**: Fm-3m, No. 225

# 18
Density functional theory data (PBE) for K2Na3InBr6 after structural relaxation.

a b c (Å): 4.472 9.063 10.109
angles (deg): 104.10 102.78 90.00
Fractional coordinates of all 12 atoms:
In 0.500 0.000 0.000
K 0.834 0.670 0.669
K 0.166 0.330 0.331
Br 0.673 0.066 0.346
Br 0.007 0.733 0.013
Br 0.993 0.267 0.987
Br 0.339 0.405 0.677
Br 0.661 0.595 0.323
Br 0.327 0.934 0.654
Na 0.834 0.169 0.667
Na 0.166 0.831 0.333
Na 0.500 0.500 0.000

Results
**Raw total energy**: -3.04 eV per atom
**D(E_F)**: 0.00 states/eV/atom
**Magnetic moment**: 0.0000 μB/atom
**SG**: C2/m, No. 12

# 19
Density functional theory data (PBE) for KNaIn2Br8 after structural relaxation.

a b c (Å): 8.820 8.820 8.820
angles (deg): 103.62 103.62 121.94
Fractional coordinates of all 12 atoms:
Br 0.945 0.269 0.324
Br 0.320 0.505 0.185
Br 0.320 0.134 0.815
Br 0.945 0.622 0.676
Br 0.866 0.680 0.185
Br 0.495 0.680 0.815
Br 0.731 0.055 0.676
Br 0.378 0.055 0.324
K 0.000 0.000 0.000
In 0.500 0.500 0.000
In 0.750 0.250 0.500
Na 0.250 0.750 0.500

Results
**Raw total energy**: -2.86 eV per atom
**D(E_F)**: 0.00 states/eV/atom
**Magnetic moment**: 0.0000 μB/atom
**SG**: I-4m2, No. 119

# 20
Density functional theory data (PBE) for K2NaInBr5 after structural relaxation.

a b c (Å): 4.932 9.710 13.546
angles (deg): 90.00 90.00 104.71
Fractional coordinates of all 18 atoms:
Br 0.493 0.985 0.767
Br 0.048 0.097 0.041
Br 0.628 0.257 0.502
Br 0.320 0.639 0.375
Br 0.952 0.903 0.541
Br 0.290 0.581 0.661
Br 0.507 0.015 0.267
Br 0.710 0.419 0.161
Br 0.680 0.361 0.875
Br 0.372 0.743 0.002
Na 0.784 0.568 0.526
Na 0.216 0.432 0.026
In 0.539 0.078 0.957
In 0.461 0.922 0.457
K 0.881 0.762 0.184
K 0.144 0.288 0.311
K 0.856 0.712 0.811
K 0.119 0.238 0.684

Results
**Raw total energy**: -2.94 eV per atom
**D(E_F)**: 0.14 states/eV/atom
**Magnetic moment**: 0.0000 μB/atom
**SG**: Cmc2_1, No. 36

no.,calculated volume (Å³ per atom),raw formation energy (eV per atom)
1,37.5,-1.3839
2,35.4,-1.1805
3,33.7,-1.0879
4,29.6,-1.2551
5,36.5,-1.0897
6,30.9,-1.1916
7,36.5,-1.1424
8,52.3,0.0125
9,32.8,-1.1150
10,32.3,-1.1129
11,33.5,-0.8110
12,35.9,-1.0285
13,33.2,-0.8754
14,39.3,-1.2723
15,35.8,-1.1081
16,34.2,-1.1198
17,34.8,-1.3037
18,32.2,-1.4588
19,42.4,-1.0838
20,34.9,-1.3186